No. 1
Zr3Rh2Au3 | PBE-GGA | optimized geometry

POSCAR file:
```
Zr3Rh2Au3
1.0
7.2661 0.0000 0.0000
-3.6330 6.2926 0.0000
0.0000 0.0000 3.3002
Zr Rh Au
3 2 3
direct
0.0000 0.5878 0.0000
0.4122 0.4122 0.0000
0.5878 0.0000 0.0000
0.3333 0.6667 0.5000
0.6667 0.3333 0.5000
0.0000 0.2299 0.5000
0.2299 0.0000 0.5000
0.7701 0.7701 0.5000
```

=====

No. 2
ZrRhAu2 | PBE-GGA | optimized geometry

POSCAR file:
```
ZrRhAu2
1.0
3.4681 0.0000 0.0000
0.0000 3.5590 0.0000
0.0000 0.0000 5.8303
Zr Rh Au
1 1 2
direct
0.0000 0.0000 0.0000
0.5000 0.5000 0.2198
0.0000 0.0000 0.4827
0.5000 0.5000 0.7252
```

=====

No. 3
Zr2RhAu | PBE-GGA | optimized geometry

POSCAR file:
```
Zr2RhAu
1.0
7.5071 0.0000 0.0000
0.0000 7.5071 0.0000
0.0000 0.0000 5.7433
Zr Rh Au
8 4 4
direct
0.2216 0.2500 0.1250
0.2500 0.7216 0.3750
0.2500 0.7784 0.8750
0.2784 0.2500 0.6250
0.7216 0.7500 0.6250
0.7500 0.2216 0.8750
0.7500 0.2784 0.3750
0.7784 0.7500 0.1250
0.0000 0.0000 0.0000
0.0000 0.5000 0.2500
0.5000 0.0000 0.7500
0.5000 0.5000 0.5000
0.0000 0.0000 0.5000
0.0000 0.5000 0.7500
0.5000 0.0000 0.2500
0.5000 0.5000 0.0000
```

=====

No. 4
ZrRh2Au | PBE-GGA | optimized geometry

POSCAR file:
```
ZrRh2Au
1.0
9.1493 0.0000 0.0000
0.0000 3.1250 0.0000
-1.2491 0.0000 4.7662
Zr Rh Au
2 4 2
direct
0.0000 0.0000 0.0000
0.5000 0.5000 0.0000
0.2434 0.5000 0.2490
0.2566 0.0000 0.7510
0.7434 0.0000 0.2490
0.7566 0.5000 0.7510
0.0000 0.5000 0.5000
0.5000 0.0000 0.5000
```

=====

No. 5
Zr2Rh2Au | PBE-GGA | optimized geometry

Computed properties:
Relative energy among the computed polymorphs, eV/atom: 0.000

POSCAR file:
```
Zr2Rh2Au
1.0
7.4279 0.0000 0.0000
0.0000 7.4279 0.0000
0.0000 0.0000 3.3312
Zr Rh Au
4 4 2
direct
0.1662 0.3338 0.0000
0.3338 0.8338 0.0000
0.6662 0.1662 0.0000
0.8338 0.6662 0.0000
0.1353 0.6353 0.5000
0.3647 0.1353 0.5000
0.6353 0.8647 0.5000
0.8647 0.3647 0.5000
0.0000 0.0000 0.5000
0.5000 0.5000 0.5000
```

=====

No. 6
Zr2RhAu | PBE-GGA | optimized geometry

POSCAR file:
```
Zr2RhAu
1.0
3.2839 0.0000 0.0000
0.0000 3.2839 0.0000
0.0000 0.0000 7.1014
Zr Rh Au
2 1 1
direct
0.0000 0.0000 0.2340
0.0000 0.0000 0.7660
0.5000 0.5000 0.0000
0.5000 0.5000 0.5000
```

=====

In order of appearance, energy relative to the elements = -0.673, -0.507, -0.261, -0.385, -0.701, -0.605 eV/atom.
In order of appearance, total DFT energy (no corrections) = -0.2552, -0.2249, -0.2643, -0.2579, -0.2836, -0.2770 hartree per atom.